No. 1
Pm3Sm2Ag2 after structural relaxation. Source: Alexandria, functional PBE-GGA.

Output
relative energy among the computed polymorphs	0.29	eV/f.u.
size of the total moment	0.07	Bohr magnetons per cell
N(E_F)	1.2930	states/eV/atom
ΔH_f (0 K)	-76	meV per atom
DFT total energy	-29.92	eV per cell
space-group type	P2/m (10)

abc: 3.6603 3.6465 15.8920
angles: 90.00 96.59 90.00
With the nearest neighbours (Å) after each atom.
Atoms (fractional coordinates):
Pm  0.0000  0.0000  0.0000  8 Ag 3.21
Pm  0.1219  0.0000  0.2434  4 Ag 3.23
Pm  0.8781  0.0000  0.7566  4 Ag 3.23
Sm  0.2971  0.5000  0.5950  6 Sm 3.51-3.66, 4 Pm 3.63
Sm  0.7029  0.5000  0.4050  6 Sm 3.51-3.66, 4 Pm 3.63
Ag  0.4393  0.5000  0.8791  8 Pm 3.21-3.23
Ag  0.5607  0.5000  0.1209  8 Pm 3.21-3.23

=====

No. 2
Sr3LaSb after structural relaxation. Source: Alexandria, functional PBE-GGA.

Output
relative energy among the computed polymorphs	0.00	eV/f.u.
size of the total moment	0.09	Bohr magnetons per cell
E_form (uncorrected)	-92	meV/atom
N(E_F)	1.9503	states/eV/atom
DFT total energy	-14.56	eV per cell
space-group type	Pm-3m (221)

abc: 6.3325 6.3325 6.3325
angles: 90.00 90.00 90.00
With the nearest neighbours (Å) after each atom.
Atoms (fractional coordinates):
Sr  0.0000  0.0000  0.5000  2 Sb 3.17
Sr  0.0000  0.5000  0.0000  2 Sb 3.17
Sr  0.5000  0.0000  0.0000  2 Sb 3.17
La  0.5000  0.5000  0.5000  12 Sr 4.48
Sb  0.0000  0.0000  0.0000  6 Sr 3.17

=====

No. 3
RePOs2 after structural relaxation. Source: Alexandria, functional PBE-GGA.

Output
size of the total moment	0.22	Bohr magnetons per cell
N(E_F)	1.3704	states/eV/atom
ΔH_f (0 K)	552	meV per atom
DFT total energy	-38.11	eV per cell
space-group type	P4/mmm (123)

abc: 4.4936 4.4936 2.8485
angles: 90.00 90.00 90.00
With the nearest neighbours (Å) after each atom.
Atoms (fractional coordinates):
Re  0.0000  0.0000  0.0000  8 Os 2.66, 2 Re 2.85
P  0.5000  0.5000  0.0000  8 Os 2.66, 2 P 2.85
Os  0.0000  0.5000  0.5000  4 P 2.66, 4 Re 2.66, 2 Os 2.85
Os  0.5000  0.0000  0.5000  4 P 2.66, 4 Re 2.66, 2 Os 2.85

=====

No. 4
MgScP2 after structural relaxation. Source: Alexandria, functional PBE-GGA.

Output
size of the total moment	0.00	Bohr magnetons per cell
N(E_F)	0.4005	states/eV/atom
ΔH_f (0 K)	-620	meV per atom
DFT total energy	-21.22	eV per cell
space-group type	C2/m (12)

abc: 4.4752 4.4752 3.4446
angles: 90.14 90.14 82.60
With the nearest neighbours (Å) after each atom.
Atoms (fractional coordinates):
Mg  0.0000  0.0000  0.0000  8 P 2.82-2.83, 2 Sc 2.95
Sc  0.5000  0.5000  0.0000  8 P 2.82-2.83, 2 Mg 2.95
P  0.0000  0.5000  0.5000  4 Mg 2.82-2.83, 4 Sc 2.82-2.83, 2 P 2.95
P  0.5000  0.0000  0.5000  4 Mg 2.82-2.83, 4 Sc 2.82-2.83, 2 P 2.95

=====

No. 5
LiYTi2 after structural relaxation. Source: Alexandria, functional PBE-GGA.

Output
relative energy among the computed polymorphs	0.00	eV/f.u.
size of the total moment	4.50	Bohr magnetons per cell
N(E_F)	1.8564	states/eV/atom
ΔH_f (0 K)	551	meV per atom
DFT total energy	-43.93	eV per cell
space-group type	I-42d (122)

abc: 10.9445 10.9445 10.9445
angles: 159.07 159.07 29.76
With the nearest neighbours (Å) after each atom.
Atoms (fractional coordinates):
Li  0.0000  0.0000  0.0000  4 Y 2.81, 4 Ti 2.98
Li  0.7500  0.2500  0.5000  4 Y 2.81, 4 Ti 2.98
Y  0.2500  0.7500  0.5000  4 Li 2.81, 4 Ti 3.01
Y  0.5000  0.5000  0.0000  4 Li 2.81, 4 Ti 3.01
Ti  0.1168  0.6250  0.9918  4 Ti 2.76-2.86, 2 Li 2.98, 2 Y 3.01
Ti  0.3750  0.3668  0.4918  4 Ti 2.76-2.86, 2 Li 2.98, 2 Y 3.01
Ti  0.6332  0.1250  0.0082  4 Ti 2.76-2.86, 2 Li 2.98, 2 Y 3.01
Ti  0.8750  0.8832  0.5082  4 Ti 2.76-2.86, 2 Li 2.98, 2 Y 3.01

=====

No. 6
Y2HPdRu after structural relaxation. Source: Alexandria, functional PBE-GGA.

Output
relative energy among the computed polymorphs	0.00	eV/f.u.
size of the total moment	0.00	Bohr magnetons per cell
N(E_F)	0.7715	states/eV/atom
DFT total energy	-33.76	eV per cell
space-group type	P4/mmm (123)

abc: 4.8840 4.8840 3.6178
angles: 90.00 90.00 90.00
With the nearest neighbours (Å) after each atom.
Atoms (fractional coordinates):
Y  0.0000  0.5000  0.0000  2 H 2.44
Y  0.5000  0.0000  0.0000  2 H 2.44
H  0.0000  0.0000  0.0000  2 Ru 1.81
Pd  0.5000  0.5000  0.5000  8 Y 3.04
Ru  0.0000  0.0000  0.5000  2 H 1.81

=====

No. 7
K2CuRh after structural relaxation. Source: Alexandria, functional PBE-GGA.

Output
relative energy among the computed polymorphs	1.55	eV/f.u.
size of the total moment	0.47	Bohr magnetons per cell
N(E_F)	0.5598	states/eV/atom
ΔH_f (0 K)	745	meV per atom
DFT total energy	-10.66	eV per cell
space-group type	P2/m (10)

abc: 3.0428 5.1100 6.0311
angles: 90.00 91.73 90.00
With the nearest neighbours (Å) after each atom.
Atoms (fractional coordinates):
K  0.0006  0.0000  0.2535  4 K 2.97-3.06, 2 Rh 3.30, 2 Cu 3.32
K  0.9994  0.0000  0.7465  4 K 2.97-3.06, 2 Rh 3.30, 2 Cu 3.32
Cu  0.5000  0.5000  0.0000  2 Rh 3.02, 2 Cu 3.04, 8 K 3.32-3.36
Rh  0.5000  0.5000  0.5000  2 Cu 3.02, 2 Rh 3.04, 8 K 3.30-3.35

=====

No. 8
LiLa2Si3Pd12 after structural relaxation. Source: Alexandria, functional PBE-GGA.

Output
size of the total moment	0.00	Bohr magnetons per cell
E_form (uncorrected)	-503	meV/atom
N(E_F)	0.4313	states/eV/atom
DFT total energy	-99.41	eV per cell
space-group type	R-3m (166)

abc: 6.8694 6.8694 6.8694
angles: 82.45 82.45 82.45
With the nearest neighbours (Å) after each atom.
Atoms (fractional coordinates):
Li  0.0000  0.0000  0.0000  6 Pd 2.62
La  0.3722  0.3722  0.3722  3 Pd 2.64
La  0.6278  0.6278  0.6278  3 Pd 2.64
Si  0.0000  0.0000  0.5000  6 Pd 2.38-2.56
Si  0.0000  0.5000  0.0000  6 Pd 2.38-2.56
Si  0.5000  0.0000  0.0000  6 Pd 2.38-2.56
Pd  0.0793  0.6383  0.6383  2 Si 2.56, 1 Pd 2.74
Pd  0.1776  0.1776  0.6778  1 Si 2.38, 1 Li 2.62, 2 Pd 2.63, 1 La 2.64
Pd  0.1776  0.6778  0.1776  1 Si 2.38, 1 Li 2.62, 2 Pd 2.63, 1 La 2.64
Pd  0.3222  0.8224  0.8224  1 Si 2.38, 1 Li 2.62, 2 Pd 2.63, 1 La 2.64
Pd  0.3617  0.3617  0.9207  2 Si 2.56, 1 Pd 2.74
Pd  0.3617  0.9207  0.3617  2 Si 2.56, 1 Pd 2.74
Pd  0.6383  0.0793  0.6383  2 Si 2.56, 1 Pd 2.74
Pd  0.6383  0.6383  0.0793  2 Si 2.56, 1 Pd 2.74
Pd  0.6778  0.1776  0.1776  1 Si 2.38, 1 Li 2.62, 2 Pd 2.63, 1 La 2.64
Pd  0.8224  0.3222  0.8224  1 Si 2.38, 1 Li 2.62, 2 Pd 2.63, 1 La 2.64
Pd  0.8224  0.8224  0.3222  1 Si 2.38, 1 Li 2.62, 2 Pd 2.63, 1 La 2.64
Pd  0.9207  0.3617  0.3617  2 Si 2.56, 1 Pd 2.74

=====

No. 9
RbHfRe3 after structural relaxation. Source: Alexandria, functional PBE-GGA.

Output
relative energy among the computed polymorphs	0.00	eV/f.u.
size of the total moment	4.37	Bohr magnetons per cell
N(E_F)	0.7968	states/eV/atom
ΔH_f (0 K)	2517	meV per atom
DFT total energy	-35.68	eV per cell
space-group type	Pm-3m (221)

abc: 5.0231 5.0231 5.0231
angles: 90.00 90.00 90.00
With the nearest neighbours (Å) after each atom.
Atoms (fractional coordinates):
Rb  0.0000  0.0000  0.0000  12 Re 3.55
Hf  0.5000  0.5000  0.5000  6 Re 2.51
Re  0.0000  0.5000  0.5000  2 Hf 2.51
Re  0.5000  0.0000  0.5000  2 Hf 2.51
Re  0.5000  0.5000  0.0000  2 Hf 2.51

=====

No. 10
LaY2In2 after structural relaxation. Source: Alexandria, functional PBE-GGA.

Output
relative energy among the computed polymorphs	0.12	eV/f.u.
size of the total moment	0.00	Bohr magnetons per cell
N(E_F)	1.2731	states/eV/atom
ΔH_f (0 K)	-367	meV per atom
DFT total energy	-50.34	eV per cell
space-group type	P-1 (2)

abc: 6.5336 6.6253 8.2759
angles: 75.95 70.91 63.31
With the nearest neighbours (Å) after each atom.
Atoms (fractional coordinates):
La  0.0960  0.3745  0.2522  6 In 3.26-3.59
La  0.9040  0.6255  0.7478  6 In 3.26-3.59
Y  0.2821  0.9896  0.9228  5 In 3.19-3.52, 3 Y 3.43-3.55
Y  0.4719  0.7693  0.4826  4 In 3.18-3.26, 3 Y 3.33-3.55
Y  0.5281  0.2307  0.5174  4 In 3.18-3.26, 3 Y 3.33-3.55
Y  0.7179  0.0104  0.0772  5 In 3.19-3.52, 3 Y 3.43-3.55
In  0.0401  0.8541  0.3399  4 Y 3.18-3.38, 3 La 3.26-3.51, 2 In 3.33-3.42
In  0.4105  0.4706  0.8561  2 In 3.14-3.33, 4 Y 3.25-3.30, 2 La 3.34-3.35
In  0.5895  0.5294  0.1439  2 In 3.14-3.33, 4 Y 3.25-3.30, 2 La 3.34-3.35
In  0.9599  0.1459  0.6601  4 Y 3.18-3.38, 3 La 3.26-3.51, 2 In 3.33-3.42

=====

No. 11
LiCo3Pb after structural relaxation. Source: Alexandria, functional PBE-GGA.

Output
relative energy among the computed polymorphs	2.72	eV/f.u.
size of the total moment	5.13	Bohr magnetons per cell
N(E_F)	1.6475	states/eV/atom
ΔH_f (0 K)	1434	meV per atom
DFT total energy	-19.77	eV per cell
space-group type	Pm-3m (221)

abc: 4.9121 4.9121 4.9121
angles: 90.00 90.00 90.00
With the nearest neighbours (Å) after each atom.
Atoms (fractional coordinates):
Li  0.0000  0.0000  0.0000  12 Co 3.47
Co  0.0000  0.5000  0.5000  2 Pb 2.46
Co  0.5000  0.0000  0.5000  2 Pb 2.46
Co  0.5000  0.5000  0.0000  2 Pb 2.46
Pb  0.5000  0.5000  0.5000  6 Co 2.46

=====

No. 12
BaAcCuSi after structural relaxation. Source: Alexandria, functional PBE-GGA.

Output
relative energy among the computed polymorphs	0.48	eV/f.u.
size of the total moment	0.00	Bohr magnetons per cell
E_form (uncorrected)	-173	meV/atom
N(E_F)	0.2449	states/eV/atom
DFT total energy	-16.24	eV per cell
space-group type	F-43m (216)

abc: 5.5170 5.5170 5.5170
angles: 60.00 60.00 60.00
With the nearest neighbours (Å) after each atom.
Atoms (fractional coordinates):
Ba  0.0000  0.0000  0.0000  4 Cu 3.38, 4 Si 3.38
Ac  0.5000  0.5000  0.5000  4 Cu 3.38, 4 Si 3.38
Cu  0.7500  0.7500  0.7500  4 Ba 3.38, 4 Ac 3.38
Si  0.2500  0.2500  0.2500  4 Ac 3.38, 4 Ba 3.38

=====

- N(E_F) of number 9 (RbHfRe3)?
  0.7968 states/eV/atom

=====

Repeat the first record exactly.
Pm3Sm2Ag2 after structural relaxation. Source: Alexandria, functional PBE-GGA.

Output
relative energy among the computed polymorphs	0.29	eV/f.u.
size of the total moment	0.07	Bohr magnetons per cell
N(E_F)	1.2930	states/eV/atom
ΔH_f (0 K)	-76	meV per atom
DFT total energy	-29.92	eV per cell
space-group type	P2/m (10)

abc: 3.6603 3.6465 15.8920
angles: 90.00 96.59 90.00
With the nearest neighbours (Å) after each atom.
Atoms (fractional coordinates):
Pm  0.0000  0.0000  0.0000  8 Ag 3.21
Pm  0.1219  0.0000  0.2434  4 Ag 3.23
Pm  0.8781  0.0000  0.7566  4 Ag 3.23
Sm  0.2971  0.5000  0.5950  6 Sm 3.51-3.66, 4 Pm 3.63
Sm  0.7029  0.5000  0.4050  6 Sm 3.51-3.66, 4 Pm 3.63
Ag  0.4393  0.5000  0.8791  8 Pm 3.21-3.23
Ag  0.5607  0.5000  0.1209  8 Pm 3.21-3.23

=====

- N(E_F) of number 7 (K2CuRh)?
  0.5598 states/eV/atom

=====

- Look up the DFT total energy of the fourth one.
  -21.22 eV per cell